Record 1
Compound: Tb2HgIr
Source: Alexandria
Functional: GGA-PBE
Structure: optimized geometry

## Properties
**Total magnetic moment**: 0.00 μB per formula unit
**Crystal system**: trigonal
**Distance to the lowest polymorph of the same formula**: 0.30 eV per formula unit
**DFT formation energy**: -602 meV per atom
**Energy**: -62.50 eV per cell

a b c (Å): 4.1139 4.1139 22.0989
angles (deg): 90.00 90.00 120.00
Space group R3m (No. 160, hexagonal axes)
Unique sites:
Tb  0.0000  0.0000  0.0000 (multiplicity 3)
Tb  0.0000  0.0000  0.2015 (multiplicity 3)
Hg  0.0000  0.0000  0.7665 (multiplicity 3)
Ir  0.0000  0.0000  0.6021 (multiplicity 3)

Record 2
Compound: Li2DyIn2Ag2
Source: Alexandria
Functional: GGA-PBE
Structure: optimized geometry

## Properties
**Total magnetic moment**: 0.00 μB per formula unit
**Crystal system**: trigonal
**DFT formation energy**: -247 meV per atom
**Energy**: -64.01 eV per cell

a b c (Å): 4.8259 4.8259 21.6012
angles (deg): 90.00 90.00 120.00
Space group R-3m (No. 166, hexagonal axes)
Unique sites:
Li  0.0000  0.0000  0.1424 (multiplicity 6)
Dy  0.0000  0.0000  0.0000 (multiplicity 3)
In  0.0000  0.0000  0.2692 (multiplicity 6)
Ag  0.0000  0.0000  0.4252 (multiplicity 6)

Record 3
Compound: TiFeCoRe
Source: Alexandria
Functional: GGA-PBE
Structure: optimized geometry

## Properties
**Total magnetic moment**: 3.61 μB per formula unit
**Crystal system**: cubic
**DFT formation energy**: -85 meV per atom
**Energy**: -145.01 eV per cell

a b c (Å): 5.958 5.958 5.958
angles (deg): 90.00 90.00 90.00
Space group F-43m (No. 216)
Unique sites:
Ti  0.000  0.000  0.000 (multiplicity 4)
Fe  0.250  0.250  0.750 (multiplicity 4)
Co  0.250  0.250  0.250 (multiplicity 4)
Re  0.000  0.000  0.500 (multiplicity 4)

Record 4
Compound: LuCdGa2
Source: Alexandria
Functional: GGA-PBE
Structure: optimized geometry

## Properties
**Total magnetic moment**: 0.00 μB per formula unit
**Crystal system**: tetragonal
**Distance to the lowest polymorph of the same formula**: 0.00 eV per formula unit
**DFT formation energy**: -381 meV per atom
**Energy**: -13.01 eV per cell

a b c (Å): 4.375 4.375 4.194
angles (deg): 90.00 90.00 90.00
Space group P4/mmm (No. 123)
Unique sites:
Lu  0.000  0.000  0.000 (multiplicity 1)
Cd  0.500  0.500  0.000 (multiplicity 1)
Ga  0.000  0.500  0.500 (multiplicity 2)

Record 5
Compound: LaRu2S2
Source: Alexandria
Functional: GGA-PBE
Structure: optimized geometry

## Properties
**Total magnetic moment**: 0.00 μB per formula unit
**Energy relative to the elements, uncorrected**: -0.19 eV per atom
**Crystal system**: tetragonal
**Distance to the lowest polymorph of the same formula**: 2.97 eV per formula unit
**Energy**: -65.40 eV per cell

a b c (Å): 7.626 7.626 3.232
angles (deg): 90.00 90.00 90.00
Space group P4/mbm (No. 127)
Unique sites:
La  0.000  0.000  0.000 (multiplicity 2)
Ru  0.199  0.301  0.500 (multiplicity 4)
S  0.151  0.651  0.000 (multiplicity 4)

Record 6
Compound: ScAl2Hg
Source: Alexandria
Functional: GGA-PBE
Structure: optimized geometry

## Properties
**Total magnetic moment**: 0.00 μB per formula unit
**Crystal system**: trigonal
**DFT formation energy**: -14 meV per atom
**Energy**: -42.53 eV per cell

a b c (Å): 3.1756 3.1756 28.2260
angles (deg): 90.00 90.00 120.00
Space group R-3m (No. 166, hexagonal axes)
Unique sites:
Sc  0.0000  0.0000  0.0000 (multiplicity 3)
Al  0.0000  0.0000  0.2501 (multiplicity 6)
Hg  0.0000  0.0000  0.5000 (multiplicity 3)